[1]
The following is a PBE-GGA calculation of crystalline MnBe2Ir at its relaxed geometry, from Alexandria.

a = 5.5435 Å, b = 5.5435 Å, c = 5.5435 Å
α = 90.00°, β = 90.00°, γ = 90.00°
Closest atoms and distances in Å follow each position.
Space group Fm-3m (No. 225)
Inequivalent atoms, fractional coordinates:
Mn 0.0000 0.0000 0.0000 x4  8 Be 2.40
Be 0.2500 0.2500 0.2500 x8  4 Mn 2.40, 4 Ir 2.40
Ir 0.0000 0.0000 0.5000 x4  8 Be 2.40

Summary:
Polymorph energy (0 for the lowest one) in eV per atom: 0.0000
Energy in eV per atom: -6.8205
Formation energy in eV per atom: -0.4497


[2]
The following is a PBE-GGA calculation of crystalline MnBeIr at its relaxed geometry, from Alexandria.

a = 4.0891 Å, b = 2.8854 Å, c = 6.3268 Å
α = 90.00°, β = 108.78°, γ = 90.00°
Closest atoms and distances in Å follow each position.
Space group Pm (No. 6)
Inequivalent atoms, fractional coordinates:
Mn 0.0000 0.0000 0.0000 x1  6 Ir 2.50-2.59, 2 Mn 2.56, 2 Be 2.75-2.76
Mn 0.1768 0.5000 0.3540 x1  6 Be 2.49-2.51, 2 Mn 2.56, 2 Ir 2.67
Be 0.3445 0.0000 0.6919 x1  6 Ir 2.39-2.52, 2 Mn 2.49
Be 0.6597 0.0000 0.3203 x1  4 Ir 2.35-2.40, 4 Mn 2.51
Ir 0.5047 0.5000 0.0096 x1  4 Be 2.35-2.39, 4 Mn 2.50
Ir 0.8188 0.5000 0.6403 x1  6 Be 2.40-2.52, 4 Mn 2.59-2.67

Summary:
Polymorph energy (0 for the lowest one) in eV per atom: 0.1263
Energy in eV per atom: -7.5078
Formation energy in eV per atom: -0.2556


[3]
The following is a PBE-GGA calculation of crystalline MnBeIr at its relaxed geometry, from Alexandria.

a = 2.8256 Å, b = 3.7036 Å, c = 12.5908 Å
α = 90.00°, β = 90.00°, γ = 90.00°
Closest atoms and distances in Å follow each position.
Space group Immm (No. 71)
Inequivalent atoms, fractional coordinates:
Mn 0.0000 0.0000 0.0000 x2  4 Mn 2.33, 4 Be 2.56, 4 Ir 2.59
Mn 0.0000 0.0000 0.5000 x2  4 Be 2.27, 4 Mn 2.33
Be 0.0000 0.5000 0.1407 x4  2 Mn 2.27, 5 Ir 2.35-2.36
Ir 0.0000 0.5000 0.3272 x4  5 Be 2.35-2.36, 2 Mn 2.59

Summary:
Polymorph energy (0 for the lowest one) in eV per atom: 0.1636
Energy in eV per atom: -7.4705
Formation energy in eV per atom: -0.2183


[4]
The following is a PBE-GGA calculation of crystalline MnBeIr at its relaxed geometry, from Alexandria.

a = 3.7853 Å, b = 9.2626 Å, c = 3.8081 Å
α = 90.00°, β = 90.00°, γ = 90.00°
Closest atoms and distances in Å follow each position.
Space group Cmmm (No. 65)
Inequivalent atoms, fractional coordinates:
Mn 0.0000 0.1675 0.0000 x4  2 Mn 2.43, 4 Be 2.45-2.46, 6 Ir 2.53-2.69
Be 0.0000 0.0000 0.5000 x2  4 Ir 2.36, 4 Mn 2.46
Be 0.0000 0.5000 0.0000 x2  4 Ir 2.37, 4 Mn 2.45
Ir 0.0000 0.3480 0.5000 x4  4 Be 2.36-2.37, 2 Mn 2.53, 2 Ir 2.62

Summary:
Polymorph energy (0 for the lowest one) in eV per atom: 0.1053
Energy in eV per atom: -7.5288
Formation energy in eV per atom: -0.2766


[5]
The following is a PBE-GGA calculation of crystalline MnBeIr at its relaxed geometry, from Alexandria.

a = 4.1116 Å, b = 4.4022 Å, c = 4.4951 Å
α = 70.30°, β = 64.18°, γ = 72.00°
Closest atoms and distances in Å follow each position.
Space group P-1 (No. 2)
Inequivalent atoms, fractional coordinates:
Mn 0.1015 0.2507 0.4076 x2  2 Mn 2.36-2.39, 3 Be 2.37-2.56, 3 Ir 2.53-2.57
Be 0.2148 0.7923 0.9052 x2  1 Be 2.22, 4 Ir 2.32-2.41, 1 Mn 2.37
Ir 0.4126 0.2760 0.7781 x2  4 Be 2.32-2.41, 3 Mn 2.53-2.57, 1 Ir 2.58

Summary:
Polymorph energy (0 for the lowest one) in eV per atom: 0.1614
Energy in eV per atom: -7.4727
Formation energy in eV per atom: -0.2205


[6]
The following is a PBE-GGA calculation of crystalline MnBe2Ir at its relaxed geometry, from Alexandria.

a = 5.0121 Å, b = 7.3153 Å, c = 2.6124 Å
α = 90.00°, β = 112.34°, γ = 90.00°
Closest atoms and distances in Å follow each position.
Space group C2/m (No. 12)
Inequivalent atoms, fractional coordinates:
Mn 0.0000 0.0000 0.0000 x2  4 Be 2.32, 2 Ir 2.51
Be 0.2500 0.2500 0.5000 x4  2 Mn 2.32, 2 Ir 2.32, 2 Be 2.51
Ir 0.0000 0.5000 0.0000 x2  4 Be 2.32, 2 Mn 2.51

Summary:
Polymorph energy (0 for the lowest one) in eV per atom: 0.3419
Energy in eV per atom: -6.4786
Formation energy in eV per atom: -0.1079


[7]
The following is a PBE-GGA calculation of crystalline Mn4BeIr at its relaxed geometry, from Alexandria.

a = 6.5041 Å, b = 6.5041 Å, c = 6.5041 Å
α = 90.00°, β = 90.00°, γ = 90.00°
Closest atoms and distances in Å follow each position.
Space group F-43m (No. 216)
Inequivalent atoms, fractional coordinates:
Mn 0.1228 0.1228 0.3772 x16  6 Mn 2.26-2.34
Be 0.2500 0.2500 0.7500 x4  12 Mn 2.69, 4 Ir 2.82
Ir 0.0000 0.0000 0.0000 x4  12 Mn 2.70, 4 Be 2.82

Summary:
Energy in eV per atom: -8.0590
Formation energy in eV per atom: 0.1519


[8]
The following is a PBE-GGA calculation of crystalline MnBe2Ir at its relaxed geometry, from Alexandria.

a = 8.7034 Å, b = 2.7832 Å, c = 3.8702 Å
α = 90.00°, β = 114.91°, γ = 90.00°
Closest atoms and distances in Å follow each position.
Space group Cm (No. 8)
Inequivalent atoms, fractional coordinates:
Mn 0.0000 0.0000 0.0000 x2  7 Be 2.39-2.64, 3 Ir 2.54-2.62
Be 0.0225 0.5000 0.5203 x2  2 Be 2.27, 4 Mn 2.39, 2 Ir 2.44
Be 0.2484 0.0000 0.7779 x2  2 Be 2.27, 4 Ir 2.39, 2 Mn 2.43
Ir 0.2680 0.5000 0.2975 x2  7 Be 2.39-2.62, 3 Mn 2.54-2.62

Summary:
Polymorph energy (0 for the lowest one) in eV per atom: 0.1921
Energy in eV per atom: -6.6284
Formation energy in eV per atom: -0.2577


[9]
The following is a PBE-GGA calculation of crystalline MnBe2Ir at its relaxed geometry, from Alexandria.

a = 2.6478 Å, b = 2.6478 Å, c = 22.1537 Å
α = 90.00°, β = 90.00°, γ = 120.00°
Closest atoms and distances in Å follow each position.
Space group R-3m (No. 166, hexagonal axes)
Inequivalent atoms, fractional coordinates:
Mn 0.0000 0.0000 0.0000 x3  6 Be 2.39, 6 Mn 2.65
Be 0.0000 0.0000 0.2502 x6  3 Mn 2.39, 3 Ir 2.40, 6 Be 2.65
Ir 0.0000 0.0000 0.5000 x3  6 Be 2.40, 6 Ir 2.65

Summary:
Polymorph energy (0 for the lowest one) in eV per atom: 0.4468
Energy in eV per atom: -6.3737
Formation energy in eV per atom: -0.0029


[10]
The following is a PBE-GGA calculation of crystalline MnBe6Ir at its relaxed geometry, from Alexandria.

a = 4.2839 Å, b = 4.2839 Å, c = 4.2839 Å
α = 90.00°, β = 90.00°, γ = 90.00°
Closest atoms and distances in Å follow each position.
Space group Pm-3 (No. 200)
Inequivalent atoms, fractional coordinates:
Mn 0.0000 0.0000 0.0000 x1  12 Be 2.40
Be 0.0000 0.2504 0.5000 x6  2 Be 2.14-2.15, 2 Ir 2.39, 2 Mn 2.40
Ir 0.5000 0.5000 0.5000 x1  12 Be 2.39

Summary:
Energy in eV per atom: -5.0492
Formation energy in eV per atom: -0.0007


[11]
The following is a PBE-GGA calculation of crystalline MnBeIr at its relaxed geometry, from Alexandria.

a = 3.8288 Å, b = 12.4124 Å, c = 2.7932 Å
α = 90.00°, β = 90.00°, γ = 90.00°
Closest atoms and distances in Å follow each position.
Space group Cmmm (No. 65)
Inequivalent atoms, fractional coordinates:
Mn 0.0000 0.0000 0.0000 x2  4 Mn 2.37, 4 Be 2.42
Mn 0.0000 0.5000 0.5000 x2  4 Mn 2.37, 4 Ir 2.52
Be 0.0000 0.1595 0.5000 x4  6 Ir 2.37-2.54, 2 Mn 2.42
Ir 0.0000 0.3306 0.0000 x4  6 Be 2.37-2.54, 2 Mn 2.52

Summary:
Polymorph energy (0 for the lowest one) in eV per atom: 0.1201
Energy in eV per atom: -7.5141
Formation energy in eV per atom: -0.2618


[12]
The following is a PBE-GGA calculation of crystalline MnBeIr at its relaxed geometry, from Alexandria.

a = 3.5207 Å, b = 3.5207 Å, c = 8.9959 Å
α = 90.00°, β = 90.00°, γ = 120.00°
Closest atoms and distances in Å follow each position.
Space group P6_3/mmc (No. 194)
Inequivalent atoms, fractional coordinates:
Mn 0.0000 0.0000 0.2500 x2  3 Be 2.03, 2 Ir 2.25
Be 0.3333 0.6667 0.2500 x2  3 Mn 2.03
Ir 0.0000 0.0000 0.0000 x2  2 Mn 2.25

Summary:
Polymorph energy (0 for the lowest one) in eV per atom: 2.1158
Energy in eV per atom: -5.5183
Formation energy in eV per atom: 1.7339


[13]
The following is a PBE-GGA calculation of crystalline MnBeIr at its relaxed geometry, from Alexandria.

a = 4.4066 Å, b = 4.5072 Å, c = 6.6444 Å
α = 90.00°, β = 90.00°, γ = 90.00°
Closest atoms and distances in Å follow each position.
Space group Imma (No. 74)
Inequivalent atoms, fractional coordinates:
Mn 0.2500 0.2500 0.2500 x4  2 Mn 2.20, 4 Be 2.29
Be 0.0000 0.0000 0.0000 x4  2 Be 2.25, 4 Mn 2.29
Ir 0.0000 0.2500 0.6095 x4  6 Be 2.58-2.83, 6 Mn 2.63-2.68, 4 Ir 2.68-2.89

Summary:
Polymorph energy (0 for the lowest one) in eV per atom: 0.1678
Energy in eV per atom: -7.4663
Formation energy in eV per atom: -0.2140